Density functional theory data (PBE-GGA) for an optimized crystal structure of CsCu2N4.

Calculated values
* volume: 19.338 A^3/atom
* theoretical density: 3.88 g cm⁻³
* symmetry: No. 2
* E_form (uncorrected): 188.0 meV/atom

Cell and atoms, written as POSCAR:
```
CsCu2N4
1.0
4.666 0.000 0.000
-0.066 4.916 0.000
-0.288 -2.441 5.901
Cs Cu N
1 2 4
Direct
0.000 0.000 0.000
0.495 0.713 0.422
0.505 0.287 0.578
0.115 0.667 0.337
0.138 0.335 0.664
0.862 0.665 0.336
0.885 0.333 0.663
```